[1]
This record from Alexandria via LeMat-Bulk describes a relaxed structure of NdDyIn. The functional is PBE.

Unit cell a=5.2908 b=5.2908 c=3.7181 alpha=90.00 beta=90.00 gamma=120.00
With the nearest neighbours (Å) after each atom.
Space group P3m1 (No. 156)
One atom of each set of equivalent atoms:
Nd: 0.0000 0.0000 0.0000  3 In 3.33, 6 Dy 3.47-3.69, 2 Nd 3.72
Dy: 0.6667 0.3333 0.5547  3 In 3.14, 3 Nd 3.47
In: 0.3333 0.6667 0.3592  3 Dy 3.14, 3 Nd 3.33

ΔE_f	-239.2	meV per atom
DOS at the Fermi energy	2.05	states/eV/cell
offset from the most stable computed form	5.5	kJ per mole of atoms
crystal system	trigonal
E	-4.275	eV/atom

[2]
This record from Alexandria via LeMat-Bulk describes a relaxed structure of Nd5DyIn2. The functional is PBE.

Unit cell a=7.0317 b=14.0660 c=4.9562 alpha=90.00 beta=90.00 gamma=90.00
With the nearest neighbours (Å) after each atom.
Space group Pbam (No. 55)
One atom of each set of equivalent atoms:
Nd: 0.0000 0.0000 0.0000  6 Nd 3.50-3.55, 4 In 3.51, 2 Dy 3.52
Nd: 0.0033 0.2521 0.0000  1 Dy 3.49, 7 Nd 3.49-3.55, 4 In 3.50-3.55
Nd: 0.2486 0.8758 0.5000  4 In 3.48-3.56, 6 Nd 3.49-3.54, 2 Dy 3.51
Dy: 0.0000 0.5000 0.0000  4 In 3.48, 8 Nd 3.49-3.52
In: 0.2450 0.6230 0.5000  10 Nd 3.48-3.56, 2 Dy 3.48

ΔE_f	-273.1	meV per atom
DOS at the Fermi energy	24.21	states/eV/cell
crystal system	orthorhombic
E	-4.513	eV/atom

[3]
This record from Alexandria via LeMat-Bulk describes a relaxed structure of Nd12Dy6In. The functional is PBE.

Unit cell a=12.0796 b=12.0796 c=15.3381 alpha=90.00 beta=90.00 gamma=120.00
With the nearest neighbours (Å) after each atom.
Space group R-3 (No. 148, hexagonal axes)
One atom of each set of equivalent atoms:
Nd: 0.0059 0.1763 0.3134  4 Dy 3.50-3.76, 1 In 3.55, 5 Nd 3.55-3.89
Nd: 0.0470 0.8468 0.9154  3 Dy 3.36-3.57, 4 Nd 3.40-3.69
Dy: 0.0240 0.4338 0.1898  7 Nd 3.36-3.76, 1 In 3.39, 2 Dy 3.44
In: 0.0000 0.0000 0.5000  6 Dy 3.39, 6 Nd 3.55

ΔE_f	61.4	meV per atom
DOS at the Fermi energy	90.01	states/eV/cell
offset from the most stable computed form	0.0	kJ per mole of atoms
crystal system	trigonal
E	-4.547	eV/atom

[4]
This record from Alexandria via LeMat-Bulk describes a relaxed structure of NdDy2In2. The functional is PBE.

Unit cell a=3.7865 b=5.4249 c=14.1269 alpha=90.00 beta=97.71 gamma=90.00
With the nearest neighbours (Å) after each atom.
Space group P2_1/m (No. 11)
One atom of each set of equivalent atoms:
Nd: 0.1465 0.2500 0.2955  6 In 3.31-3.40, 2 Dy 3.68
Dy: 0.0487 0.7500 0.0973  8 In 3.26-3.31
Dy: 0.2360 0.7500 0.4728  2 In 3.22, 4 Dy 3.39-3.40
In: 0.3575 0.2500 0.7133  4 Dy 3.22-3.26, 4 Nd 3.31
In: 0.4523 0.7500 0.9055  6 Dy 3.28-3.31, 2 Nd 3.39-3.40

ΔE_f	-378.5	meV per atom
DOS at the Fermi energy	9.12	states/eV/cell
offset from the most stable computed form	0.0	kJ per mole of atoms
crystal system	monoclinic
E	-4.268	eV/atom

[5]
This record from Alexandria via LeMat-Bulk describes a relaxed structure of NdDy3In. The functional is PBE.

Unit cell a=4.8749 b=25.2956 c=4.8568 alpha=90.00 beta=90.00 gamma=90.00
With the nearest neighbours (Å) after each atom.
Space group Cmcm (No. 63)
One atom of each set of equivalent atoms:
Nd: 0.0000 0.1480 0.2500  4 In 3.44, 8 Dy 3.45-3.55
Dy: 0.0000 0.0478 0.7500  8 Dy 3.43-3.50, 2 Nd 3.51, 2 In 3.63
Dy: 0.0000 0.2501 0.7500  4 In 3.43-3.44, 4 Dy 3.44, 4 Nd 3.54-3.55
Dy: 0.0000 0.4483 0.7500  8 Dy 3.44-3.57, 2 Nd 3.45, 2 In 3.55
In: 0.0000 0.3460 0.2500  8 Dy 3.43-3.63, 4 Nd 3.44

ΔE_f	-177.0	meV per atom
DOS at the Fermi energy	28.48	states/eV/cell
offset from the most stable computed form	0.4	kJ per mole of atoms
crystal system	orthorhombic
E	-4.439	eV/atom

[6]
This record from Alexandria via LeMat-Bulk describes a relaxed structure of Nd6Dy8In. The functional is PBE.

Unit cell a=9.4501 b=9.4501 c=6.4362 alpha=90.00 beta=90.00 gamma=120.00
With the nearest neighbours (Å) after each atom.
Space group P-3 (No. 147)
One atom of each set of equivalent atoms:
Nd: 0.0900 0.6410 0.1812  1 Nd 3.30, 5 Dy 3.37-3.61
Dy: 0.0389 0.7757 0.6863  1 In 3.08, 3 Dy 3.34-3.42, 1 Nd 3.37
Dy: 0.3333 0.6667 0.6622  3 Dy 3.42, 6 Nd 3.72-3.79
In: 0.0000 0.0000 0.0000  6 Dy 3.08

ΔE_f	66.2	meV per atom
DOS at the Fermi energy	17.73	states/eV/cell
crystal system	trigonal
E	-4.478	eV/atom

[7]
This record from Alexandria via LeMat-Bulk describes a relaxed structure of NdDyIn4. The functional is PBE.

Unit cell a=4.9785 b=5.3021 c=12.2716 alpha=90.00 beta=90.00 gamma=90.00
With the nearest neighbours (Å) after each atom.
Space group Cmmm (No. 65)
One atom of each set of equivalent atoms:
Nd: 0.0000 0.0000 0.0000  8 In 3.33-3.45, 4 Nd 3.64
Dy: 0.0000 0.5000 0.5000  8 In 3.25-3.37, 4 Dy 3.64
In: 0.0000 0.0000 0.3298  4 In 3.09-3.22, 4 Dy 3.25-3.37
In: 0.0000 0.5000 0.1805  4 In 3.09-3.22, 4 Nd 3.33-3.45

ΔE_f	-293.5	meV per atom
DOS at the Fermi energy	8.83	states/eV/cell
offset from the most stable computed form	7.9	kJ per mole of atoms
crystal system	orthorhombic
E	-3.681	eV/atom

[8]
This record from Alexandria via LeMat-Bulk describes a relaxed structure of Nd4DyIn5. The functional is PBE.

Unit cell a=3.8446 b=3.8446 c=19.3423 alpha=90.00 beta=90.00 gamma=90.00
With the nearest neighbours (Å) after each atom.
Space group P4/mmm (No. 123)
One atom of each set of equivalent atoms:
Nd: 0.0000 0.0000 0.1016  8 In 3.35-3.36
Nd: 0.0000 0.0000 0.3050  8 In 3.36
Dy: 0.0000 0.0000 0.5000  8 In 3.25
In: 0.5000 0.5000 0.0000  8 Nd 3.35
In: 0.5000 0.5000 0.2033  8 Nd 3.36
In: 0.5000 0.5000 0.4075  4 Dy 3.25, 4 Nd 3.36, 1 In 3.58

ΔE_f	-490.7	meV per atom
DOS at the Fermi energy	5.56	states/eV/cell
crystal system	tetragonal
E	-4.227	eV/atom